# Ca4Ac15Er PBE-GGA optimized geometry
# Formation enthalpy at 0 K ... 49 kJ/mol of formula units
data_Ca4Ac15Er
_cell_length_a 5.562
_cell_length_b 5.562
_cell_length_c 28.015
_cell_angle_alpha 90.00
_cell_angle_beta 90.00
_cell_angle_gamma 90.00
_symmetry_space_group_name_H-M 'P 4/m m m'
_symmetry_Int_Tables_number 123
_symmetry_space_group_name_Hall '-P 4 2'
loop_
_atom_site_label
_atom_site_fract_x
_atom_site_fract_y
_atom_site_fract_z
Ca1 0.000 0.000 0.101
Ca2 0.000 0.000 0.302
Ac1 0.000 0.500 0.000
Ac2 0.000 0.500 0.202
Ac3 0.000 0.500 0.404
Ac4 0.500 0.500 0.101
Ac5 0.500 0.500 0.302
Ac6 0.500 0.500 0.500
Er1 0.000 0.000 0.500